[1]
This record from Alexandria via LeMat-Bulk describes crystalline Na2UF6 at its relaxed geometry. The functional is GGA-PBE.

Values from the calculation:
D(E_F) in states/eV per atom: 0.164
Crystal system: trigonal
Formation energy (no corrections) in meV per atom: -3275

Cell: 6.1649 6.1649 7.2574 Å, 90.00 90.00 120.00°
Last column: nearest neighbours and their distance in Å.
Element x y z (fractional)
1 Na 0.0000 0.0000 0.0025  6 F 2.34
2 Na 0.6667 0.3333 0.6315  9 F 2.51-2.57
3 Na 0.0000 0.0000 0.5027  6 F 2.39
4 Na 0.3333 0.6667 0.3748  9 F 2.51-2.57
5 U 0.3333 0.6667 0.8609  9 F 2.22-2.42
6 U 0.6667 0.3333 0.1451  9 F 2.22-2.42
7 F 0.9038 0.6144 0.3555  1 U 2.22, 1 Na 2.39
8 F 0.6147 0.7112 0.6505  1 U 2.22, 1 Na 2.39
9 F 0.3107 0.9178 0.1085  2 Na 2.34-2.52, 2 U 2.41-2.42, 1 F 2.54
10 F 0.9177 0.6067 0.8973  2 Na 2.34-2.52, 2 U 2.41-2.42, 1 F 2.54
11 F 0.6890 0.0823 0.8973  2 Na 2.34-2.52, 2 U 2.41-2.42, 1 F 2.54
12 F 0.6071 0.6893 0.1085  2 Na 2.34-2.52, 2 U 2.41-2.42, 1 F 2.54
13 F 0.7106 0.0962 0.3555  1 U 2.22, 1 Na 2.39
14 F 0.0822 0.3929 0.1085  2 Na 2.34-2.52, 2 U 2.41-2.42, 1 F 2.54
15 F 0.3933 0.3110 0.8973  2 Na 2.34-2.52, 2 U 2.41-2.42, 1 F 2.54
16 F 0.3856 0.2894 0.3555  1 U 2.22, 1 Na 2.39
17 F 0.2888 0.9035 0.6505  1 U 2.22, 1 Na 2.39
18 F 0.0965 0.3853 0.6505  1 U 2.22, 1 Na 2.39

[2]
This record from Alexandria via LeMat-Bulk describes crystalline NaUF5 at its relaxed geometry. The functional is GGA-PBE.

Values from the calculation:
D(E_F) in states/eV per atom: 0.670
Crystal system: monoclinic
Formation energy (no corrections) in meV per atom: -3381

Cell: 5.8571 9.0239 11.2452 Å, 90.00 90.00 109.77°
Last column: nearest neighbours and their distance in Å.
Element x y z (fractional)
1 Na 0.7077 0.1914 0.9921  5 F 2.24-2.38
2 Na 0.7923 0.3086 0.4921  5 F 2.24-2.38
3 Na 0.2923 0.8086 0.0079  5 F 2.24-2.38
4 Na 0.2077 0.6914 0.5079  5 F 2.24-2.38
5 U 0.2780 0.3602 0.7567  6 F 2.13-2.30
6 U 0.2220 0.1398 0.2567  6 F 2.13-2.30
7 U 0.7220 0.6398 0.2433  6 F 2.13-2.30
8 U 0.7780 0.8602 0.7433  6 F 2.13-2.30
9 F 0.0009 0.3669 0.8775  1 U 2.13, 1 Na 2.30
10 F 0.4991 0.1331 0.3775  1 U 2.13, 1 Na 2.30
11 F 0.9991 0.6331 0.1225  1 U 2.13, 1 Na 2.30
12 F 0.5009 0.8669 0.6225  1 U 2.13, 1 Na 2.30
13 F 0.1248 0.4580 0.6125  1 U 2.18, 2 Na 2.32-2.38
14 F 0.3752 0.0420 0.1124  1 U 2.18, 2 Na 2.32-2.38
15 F 0.8752 0.5420 0.3876  1 U 2.18, 2 Na 2.32-2.38
16 F 0.6248 0.9580 0.8876  1 U 2.18, 2 Na 2.32-2.38
17 F 0.0717 0.2312 0.3998  1 U 2.13, 1 Na 2.24
18 F 0.4283 0.2688 0.8998  1 U 2.13, 1 Na 2.24
19 F 0.9283 0.7688 0.6002  1 U 2.13, 1 Na 2.24
20 F 0.5717 0.7312 0.1002  1 U 2.13, 1 Na 2.24
21 F 0.9550 0.1660 0.1375  1 U 2.13, 1 Na 2.25
22 F 0.5450 0.3340 0.6375  1 U 2.13, 1 Na 2.25
23 F 0.0450 0.8340 0.8625  1 U 2.13, 1 Na 2.25
24 F 0.4550 0.6660 0.3625  1 U 2.13, 1 Na 2.25
25 F 0.0146 0.1159 0.7037  2 U 2.30
26 F 0.4854 0.3841 0.2037  2 U 2.30
27 F 0.9854 0.8841 0.2963  2 U 2.30
28 F 0.5146 0.6159 0.7963  2 U 2.30

[3]
This record from Alexandria via LeMat-Bulk describes crystalline Na2UF8 at its relaxed geometry. The functional is GGA-PBE.

Values from the calculation:
D(E_F) in states/eV per atom: 0.433
Crystal system: monoclinic
Formation energy (no corrections) in meV per atom: -2960

Cell: 4.0027 5.3018 7.4246 Å, 105.26 105.64 90.00°
Last column: nearest neighbours and their distance in Å.
Element x y z (fractional)
1 Na 0.7866 0.2975 0.5732  3 F 2.29-2.30
2 Na 0.2134 0.7025 0.4268  3 F 2.29-2.30
3 U 0.5000 0.0000 0.0000  4 F 2.02-2.03
4 F 0.4159 0.6267 0.8319  1 U 2.02
5 F 0.6307 0.9164 0.2613  1 U 2.03
6 F 0.7936 0.7353 0.5873  3 Na 2.29-2.30
7 F 0.9775 0.1978 0.9550  2 U 2.32, 5 F 2.36-2.53
8 F 0.2064 0.2647 0.4127  3 Na 2.29-2.30
9 F 0.3693 0.0836 0.7387  1 U 2.03
10 F 0.5841 0.3733 0.1681  1 U 2.02
11 F 0.0225 0.8022 0.0450  2 U 2.32, 5 F 2.36-2.53

[4]
This record from Alexandria via LeMat-Bulk describes crystalline NaU2F11 at its relaxed geometry. The functional is GGA-PBE.

Values from the calculation:
Crystal system: orthorhombic
Formation energy (no corrections) in meV per atom: -3449

Cell: 8.7746 8.7347 8.7347 Å, 71.94 59.85 59.85°
Last column: nearest neighbours and their distance in Å.
Element x y z (fractional)
1 Na 0.7500 0.7500 0.7500  8 F 2.49-2.57
2 Na 0.2500 0.2500 0.2500  8 F 2.49-2.57
3 U 0.6549 0.6795 0.3205  6 F 2.06-2.29
4 U 0.3451 0.3205 0.6795  6 F 2.06-2.29
5 U 0.8451 0.1795 0.8205  6 F 2.06-2.29
6 U 0.1549 0.8205 0.1795  6 F 2.06-2.29
7 F 0.6306 0.7015 0.5611  1 U 2.06
8 F 0.3694 0.2985 0.4389  1 U 2.06
9 F 0.1067 0.5611 0.7015  1 U 2.06
10 F 0.8694 0.9389 0.7985  1 U 2.06
11 F 0.8933 0.4389 0.2985  1 U 2.06
12 F 0.1306 0.0611 0.2015  1 U 2.06
13 F 0.3933 0.7985 0.9389  1 U 2.06
14 F 0.6067 0.2015 0.0611  1 U 2.06
15 F 0.5000 0.5000 0.5000  2 U 2.29, 2 F 2.50
16 F 0.0000 0.0000 0.0000  2 U 2.29, 2 F 2.50
17 F 0.8592 0.7877 0.2123  1 U 2.11
18 F 0.1408 0.2123 0.7877  1 U 2.11
19 F 0.6408 0.2877 0.7123  1 U 2.11
20 F 0.3592 0.7123 0.2877  1 U 2.11
21 F 0.4510 0.9411 0.3306  1 U 2.07
22 F 0.5490 0.0589 0.6694  1 U 2.07
23 F 0.2773 0.3306 0.9411  1 U 2.07
24 F 0.0490 0.1694 0.5589  1 U 2.07
25 F 0.7227 0.6694 0.0589  1 U 2.07
26 F 0.9510 0.8306 0.4411  1 U 2.07
27 F 0.2227 0.5589 0.1694  1 U 2.07
28 F 0.7773 0.4411 0.8306  1 U 2.07

[5]
This record from Alexandria via LeMat-Bulk describes crystalline Na3UF7 at its relaxed geometry. The functional is GGA-PBE.

Values from the calculation:
D(E_F) in states/eV per atom: 0.129
Crystal system: monoclinic
Formation energy (no corrections) in meV per atom: -3172

Cell: 5.6915 5.6915 6.4173 Å, 68.55 68.55 94.88°
Last column: nearest neighbours and their distance in Å.
Element x y z (fractional)
1 Na 0.7508 0.2239 0.5187  6 F 2.34-2.48
2 Na 0.5336 0.5336 0.9059  5 F 2.27-2.32
3 Na 0.2239 0.7508 0.5187  6 F 2.34-2.48
4 U 0.0347 0.0347 0.9858  7 F 2.21-2.32
5 F 0.8718 0.8718 0.7881  1 U 2.21, 3 Na 2.28-2.46
6 F 0.8783 0.3601 0.7956  1 U 2.27, 3 Na 2.27-2.48
7 F 0.6557 0.9999 0.2809  1 U 2.22, 2 Na 2.34-2.48
8 F 0.3601 0.8783 0.7956  1 U 2.27, 3 Na 2.27-2.48
9 F 0.3844 0.3844 0.6784  3 Na 2.29-2.38, 1 U 2.32
10 F 0.9999 0.6557 0.2809  1 U 2.22, 2 Na 2.34-2.48
11 F 0.1819 0.1819 0.2015  1 U 2.21, 1 Na 2.32

[6]
This record from Alexandria via LeMat-Bulk describes crystalline Na2UF6 at its relaxed geometry. The functional is GGA-PBE.

Values from the calculation:
D(E_F) in states/eV per atom: 0.768
Crystal system: tetragonal
Formation energy (no corrections) in meV per atom: -3279

Cell: 5.2989 5.2989 10.6877 Å, 90.00 90.00 90.00°
Last column: nearest neighbours and their distance in Å.
Element x y z (fractional)
1 Na 0.5000 0.5000 0.3365  6 F 2.32-2.41
2 Na 0.5000 0.5000 0.6635  6 F 2.32-2.41
3 Na 0.0000 0.0000 0.1635  6 F 2.32-2.41
4 Na 0.0000 0.0000 0.8365  6 F 2.32-2.41
5 U 0.5000 0.5000 0.0000  6 F 2.19-2.21
6 U 0.0000 0.0000 0.5000  6 F 2.19-2.21
7 F 0.6907 0.6907 0.1549  1 U 2.19, 2 Na 2.32-2.41
8 F 0.6907 0.6907 0.8451  1 U 2.19, 2 Na 2.32-2.41
9 F 0.7057 0.7057 0.5000  1 U 2.21, 2 Na 2.33
10 F 0.7943 0.2057 0.0000  1 U 2.21, 2 Na 2.33
11 F 0.8093 0.1907 0.3451  1 U 2.19, 2 Na 2.32-2.41
12 F 0.8093 0.1907 0.6549  1 U 2.19, 2 Na 2.32-2.41
13 F 0.1907 0.8093 0.3451  1 U 2.19, 2 Na 2.32-2.41
14 F 0.1907 0.8093 0.6549  1 U 2.19, 2 Na 2.32-2.41
15 F 0.2057 0.7943 0.0000  1 U 2.21, 2 Na 2.33
16 F 0.2943 0.2943 0.5000  1 U 2.21, 2 Na 2.33
17 F 0.3093 0.3093 0.1549  1 U 2.19, 2 Na 2.32-2.41
18 F 0.3093 0.3093 0.8451  1 U 2.19, 2 Na 2.32-2.41

> What is the formation energy (no corrections) in the sixth record?

-3279 meV per atom